[1]
TcRu2 after structural relaxation, computed with PBE-GGA.

The structure in POSCAR format:
```
TcRu2
1.0
2.744 0.000 0.000
0.000 14.208 0.000
0.000 0.000 4.336
Tc Ru
4 8
Direct
0.000 0.111 0.250
0.000 0.889 0.750
0.500 0.389 0.750
0.500 0.611 0.250
0.000 0.222 0.750
0.000 0.443 0.250
0.000 0.557 0.750
0.000 0.778 0.250
0.500 0.057 0.750
0.500 0.278 0.250
0.500 0.722 0.750
0.500 0.943 0.250
```

## Properties
ΔE_f = -53.1 meV/atom
DOS at the Fermi energy = 0.936 states/eV/atom

***

[2]
TcRu3 after structural relaxation, computed with PBE-GGA.

The structure in POSCAR format:
```
TcRu3
1.0
2.735 0.000 0.000
-1.367 2.369 0.000
0.000 0.000 8.667
Tc Ru
1 3
Direct
0.000 0.000 0.000
0.000 0.000 0.500
0.667 0.333 0.250
0.667 0.333 0.750
```

## Properties
ΔE_f = -23.9 meV/atom
DOS at the Fermi energy = 1.186 states/eV/atom

***

[3]
TcRu3 after structural relaxation, computed with PBE-GGA.

The structure in POSCAR format:
```
TcRu3
1.0
5.434 0.000 0.000
0.000 7.662 0.000
0.000 0.000 2.709
Tc Ru
2 6
Direct
0.000 0.000 0.000
0.500 0.500 0.000
0.000 0.500 0.000
0.250 0.250 0.500
0.250 0.750 0.500
0.500 0.000 0.000
0.750 0.250 0.500
0.750 0.750 0.500
```

## Properties
ΔE_f = 77.9 meV/atom
DOS at the Fermi energy = 1.104 states/eV/atom

***

[4]
TcRu2 after structural relaxation, computed with PBE-GGA.

The structure in POSCAR format:
```
TcRu2
1.0
9.877 0.000 0.000
0.000 2.738 0.000
-1.515 0.000 6.249
Tc Ru
4 8
Direct
0.000 0.000 0.000
0.168 0.500 0.336
0.500 0.500 0.000
0.668 0.000 0.336
0.112 0.500 0.723
0.278 0.000 0.057
0.334 0.000 0.667
0.445 0.500 0.389
0.612 0.000 0.723
0.778 0.500 0.057
0.834 0.500 0.667
0.945 0.000 0.389
```

## Properties
ΔE_f = -47.3 meV/atom
DOS at the Fermi energy = 0.953 states/eV/atom